# Re3SnAu, relaxed, DFT GGA-PBEsol
# - DOS(E_F) (states/eV per atom) = 1.41
# - energy of formation from the pure elements (eV per atom) = 3.03
data_Re3SnAu
_space_group_name_H-M_alt 'P 1'
_space_group_IT_number 1
_space_group_name_Hall 'P 1'
_cell_length_a 4.7420
_cell_length_b 4.7420
_cell_length_c 4.7420
_cell_angle_alpha 90.00
_cell_angle_beta 90.00
_cell_angle_gamma 90.00
loop_
_atom_site_label
_atom_site_type_symbol
_atom_site_fract_x
_atom_site_fract_y
_atom_site_fract_z
_atom_site_occupancy
Re1 Re 0.5000 0.0000 0.0000 1
Re2 Re 0.0000 0.0000 0.5000 1
Au1 Au 0.5000 0.5000 0.5000 1
Re3 Re 0.0000 0.5000 0.0000 1
Sn1 Sn 0.0000 0.0000 0.0000 1